1.
LiLa | GGA-PBE | optimized geometry

Values from the calculation:
Crystal system   hexagonal

Cell lengths 4.7252, 4.7252, 11.0816 Å; angles 90.00, 90.00, 120.00 degrees
Fractional positions:
Li 0.3333 0.6667 0.7500
La 0.6667 0.3333 0.5635
Li 0.6667 0.3333 0.2500
La 0.3333 0.6667 0.4365
Li 0.0000 0.0000 0.7500
La 0.3333 0.6667 0.0635
Li 0.0000 0.0000 0.2500
La 0.6667 0.3333 0.9365


2.
LiLa | GGA-PBE | optimized geometry

Values from the calculation:
Crystal system   monoclinic

Cell lengths 5.5694, 8.6465, 6.6598 Å; angles 129.51, 33.30, 139.57 degrees
Fractional positions:
La 0.4738 0.1923 0.9997
La 0.5262 0.8077 0.0003
Li 0.3994 0.6891 0.4999
Li 0.6006 0.3109 0.5001


3.
LiLa | GGA-PBE | optimized geometry

Values from the calculation:
Crystal system   orthorhombic

Cell lengths 3.5286, 5.5787, 17.3330 Å; angles 90.00, 90.00, 90.00 degrees
Fractional positions:
La 0.0000 0.7292 0.1816
La 0.0000 0.7292 0.8184
La 0.5000 0.6879 0.0000
Li 0.0000 0.7786 0.3729
Li 0.5000 0.2214 0.1271
La 0.0000 0.3121 0.5000
Li 0.0000 0.7786 0.6271
Li 0.5000 0.8156 0.5000
La 0.5000 0.2708 0.6816
Li 0.5000 0.2214 0.8729
Li 0.0000 0.1844 0.0000
La 0.5000 0.2708 0.3184


4.
LiLa3 | GGA-PBE | optimized geometry

Values from the calculation:
Crystal system   cubic

Cell lengths 5.1091, 5.1091, 5.1091 Å; angles 90.00, 90.00, 90.00 degrees
Fractional positions:
La 0.0000 0.0000 0.5000
Li 0.5000 0.5000 0.5000
La 0.5000 0.0000 0.0000
La 0.0000 0.5000 0.0000


5.
LiLa3 | GGA-PBE | optimized geometry

Values from the calculation:
Crystal system   orthorhombic

Cell lengths 5.5747, 6.3763, 7.3159 Å; angles 90.00, 90.00, 90.00 degrees
Fractional positions:
Li 0.5000 0.3230 0.5000
La 0.0000 0.1736 0.7491
Li 0.0000 0.6770 0.0000
La 0.5000 0.8264 0.7509
La 0.5000 0.8264 0.2491
La 0.0000 0.6417 0.5000
La 0.0000 0.1736 0.2509
La 0.5000 0.3583 0.0000


6.
LiLa3 | GGA-PBE | optimized geometry

Values from the calculation:
Crystal system   monoclinic

Cell lengths 5.4636, 3.6763, 6.7825 Å; angles 75.27, 90.00, 90.00 degrees
Fractional positions:
La 0.0000 0.4355 0.4795
La 0.0000 0.0645 0.0205
La 0.5000 0.7500 0.7500
Li 0.5000 0.2500 0.2500


7.
Li2La | GGA-PBE | optimized geometry

Values from the calculation:
Crystal system   orthorhombic

Cell lengths 8.4649, 8.4649, 5.1013 Å; angles 90.00, 90.00, 155.30 degrees
Fractional positions:
La 0.5556 0.4444 0.7500
Li 0.8762 0.1238 0.7500
Li 0.2447 0.7553 0.7500
Li 0.1238 0.8762 0.2500
La 0.4444 0.5556 0.2500
Li 0.7553 0.2447 0.2500


8.
LiLa3 | GGA-PBE | optimized geometry

Values from the calculation:
Crystal system   orthorhombic

Cell lengths 6.1062, 6.1062, 3.6424 Å; angles 90.00, 90.00, 103.72 degrees
Fractional positions:
La 0.5000 0.0000 0.5000
La 0.0000 0.5000 0.5000
La 0.5000 0.5000 0.0000
Li 0.0000 0.0000 0.0000


| no. | calculated formation energy (eV/atom) |
| --- | --- |
| 1 | 0.195 |
| 2 | 0.125 |
| 3 | 0.107 |
| 4 | 0.140 |
| 5 | 0.135 |
| 6 | 0.105 |
| 7 | 0.101 |
| 8 | 0.092 |